! Li2Zr PBE-GGA optimized geometry; values from VASP
&SYSTEM
  ibrav = 0, nat = 3, ntyp = 2
/
ATOMIC_SPECIES
Li 6.94 Li.upf
Zr 91.22 Zr.upf
CELL_PARAMETERS angstrom
0.000 2.444 8.139
1.583 0.000 8.139
1.583 2.444 0.000
ATOMIC_POSITIONS crystal
Li 0.166 0.166 0.834
Li 0.834 0.834 0.166
Zr 0.500 0.500 0.500
! **Volume**: 63.0 Å³/cell
! **Space group**: No. 69
! **Energy relative to the lowest polymorph listed for this composition**: 0 meV/atom
! **ΔE_f**: 15.0 kJ/mol of atoms
! **Density of states at the Fermi level**: 2.1 states/eV/cell
! **Calculated density**: 2.77 g cm⁻³



! LiZr3 PBE-GGA optimized geometry; values from VASP
&SYSTEM
  ibrav = 0, nat = 4, ntyp = 2
/
ATOMIC_SPECIES
Li 6.94 Li.upf
Zr 91.22 Zr.upf
CELL_PARAMETERS angstrom
2.941 0.000 0.000
0.000 4.947 0.000
-1.421 0.000 5.986
ATOMIC_POSITIONS crystal
Li 0.000 0.000 0.000
Zr 0.000 0.000 0.500
Zr 0.418 0.500 0.249
Zr 0.582 0.500 0.751
! **Volume**: 87.1 Å³/cell
! **Space group**: No. 10
! **Energy relative to the lowest polymorph listed for this composition**: 94 meV/atom
! **ΔE_f**: 20.0 kJ/mol of atoms
! **Density of states at the Fermi level**: 5.3 states/eV/cell
! **Calculated density**: 5.35 g cm⁻³



! Li3Zr2 PBE-GGA optimized geometry; values from VASP
&SYSTEM
  ibrav = 0, nat = 10, ntyp = 2
/
ATOMIC_SPECIES
Li 6.94 Li.upf
Zr 91.22 Zr.upf
CELL_PARAMETERS angstrom
0.000 7.070 2.664
5.044 0.000 2.664
5.044 7.070 0.000
ATOMIC_POSITIONS crystal
Li 0.000 0.000 0.000
Li 0.250 0.250 0.250
Li 0.371 0.522 0.443
Li 0.522 0.371 0.664
Li 0.586 0.807 0.728
Li 0.807 0.586 0.879
Zr 0.127 0.754 0.285
Zr 0.416 0.965 0.496
Zr 0.754 0.127 0.834
Zr 0.965 0.416 0.123
! **Volume**: 190.0 Å³/cell
! **Space group**: No. 43
! **ΔE_f**: 40.0 kJ/mol of atoms
! **Density of states at the Fermi level**: 9.6 states/eV/cell
! **Calculated density**: 3.55 g cm⁻³



! LiZr5 PBE-GGA optimized geometry; values from VASP
&SYSTEM
  ibrav = 0, nat = 6, ntyp = 2
/
ATOMIC_SPECIES
Li 6.94 Li.upf
Zr 91.22 Zr.upf
CELL_PARAMETERS angstrom
2.262 -6.608 0.000
2.262 6.608 0.000
0.000 0.000 4.428
ATOMIC_POSITIONS crystal
Li 0.000 0.000 0.000
Zr 0.164 0.836 0.500
Zr 0.333 0.667 0.000
Zr 0.500 0.500 0.500
Zr 0.667 0.333 0.000
Zr 0.836 0.164 0.500
! **Volume**: 132.4 Å³/cell
! **Space group**: No. 65
! **Energy relative to the lowest polymorph listed for this composition**: 22 meV/atom
! **ΔE_f**: 13.1 kJ/mol of atoms
! **Density of states at the Fermi level**: 7.8 states/eV/cell
! **Calculated density**: 5.81 g cm⁻³